The following is a PBE-GGA calculation of a relaxed Zr2CuPd2 crystal, from Alexandria via LeMat-Bulk.

Computed properties:
energy of formation from the pure elements: -0.201 eV/atom
DOS(E_F): 13.23 states/eV per cell
total magnetization: 0.00 μB per formula unit
space-group type: P4/mbm

Lattice parameters (Å, degrees): 7.574 7.574 3.360 90.00 90.00 90.00
Sites, in units of the cell vectors:
Cu 0.000 0.000 0.000
Cu 0.500 0.500 0.000
Zr 0.333 0.833 0.000
Zr 0.833 0.667 0.000
Zr 0.667 0.167 0.000
Zr 0.167 0.333 0.000
Pd 0.131 0.631 0.500
Pd 0.631 0.869 0.500
Pd 0.869 0.369 0.500
Pd 0.369 0.131 0.500

The following is a PBE-GGA calculation of a relaxed La5Y8Sc crystal, from Alexandria via LeMat-Bulk.

Computed properties:
energy of formation from the pure elements: 0.188 eV/atom
DOS(E_F): 22.78 states/eV per cell
total magnetization: 0.00 μB per formula unit
space-group type: C2

Lattice parameters (Å, degrees): 8.895 8.928 8.895 122.29 121.84 86.35
Sites, in units of the cell vectors:
La 0.884 0.260 0.049
La 0.062 0.038 0.297
La 0.789 0.740 0.624
La 0.494 0.000 0.494
La 0.259 0.962 0.025
Y 0.061 0.571 0.005
Y 0.966 0.083 0.642
Y 0.784 0.302 0.410
Y 0.689 0.673 0.098
Y 0.425 0.327 0.016
Y 0.559 0.917 0.884
Y 0.434 0.429 0.490
Y 0.108 0.698 0.482
Sc 0.235 0.500 0.735